The following is a DFT calculation (GGA-PBE) of an optimized crystal structure of ZrAsPdO.

abc: 5.420 5.420 4.583
angles: 90.00 90.00 90.00
Positions (direct):
Zr1 0.250 0.750 0.000
Zr2 0.750 0.250 0.000
As1 0.250 0.250 0.032
As2 0.750 0.750 0.968
Pd1 0.250 0.250 0.532
Pd2 0.750 0.750 0.468
O1 0.250 0.750 0.500
O2 0.750 0.250 0.500

Summary:
Excess energy over the best structure of this formula in the dataset = 0.586 eV per atom

The following is a DFT calculation (GGA-PBE) of an optimized crystal structure of ZrAsPdO.

abc: 3.811 3.811 8.274
angles: 90.00 90.00 90.00
Positions (direct):
Zr1 0.250 0.250 0.147
Zr2 0.750 0.750 0.853
As1 0.250 0.250 0.706
As2 0.750 0.750 0.294
Pd1 0.250 0.750 0.500
Pd2 0.750 0.250 0.500
O1 0.250 0.750 0.000
O2 0.750 0.250 0.000

Summary:
Excess energy over the best structure of this formula in the dataset = 0.000 eV per atom

The following is a DFT calculation (GGA-PBE) of an optimized crystal structure of ZrAsPdO.

abc: 4.787 4.848 5.636
angles: 90.00 90.00 90.00
Positions (direct):
Zr1 0.000 0.249 0.000
Zr2 0.000 0.751 0.500
As1 0.500 0.437 0.704
As2 0.500 0.563 0.204
Pd1 0.500 0.031 0.394
Pd2 0.500 0.969 0.894
O1 0.000 0.132 0.341
O2 0.000 0.868 0.841

Summary:
Excess energy over the best structure of this formula in the dataset = 0.246 eV per atom

The following is a DFT calculation (GGA-PBE) of an optimized crystal structure of Pm2AsO.

abc: 3.955 3.955 5.582
angles: 90.00 90.00 90.00
Positions (direct):
Pm1 0.000 0.000 0.000
Pm2 0.500 0.500 0.500
As1 0.000 0.000 0.500
O1 0.500 0.500 0.000

The following is a DFT calculation (GGA-PBE) of an optimized crystal structure of PmAsPtO.

abc: 6.102 6.102 4.544
angles: 90.00 90.00 90.00
Positions (direct):
Pm1 0.250 0.750 0.000
Pm2 0.750 0.250 0.000
As1 0.250 0.250 0.497
As2 0.750 0.750 0.503
Pt1 0.250 0.250 0.997
Pt2 0.750 0.750 0.003
O1 0.250 0.750 0.500
O2 0.750 0.250 0.500

Summary:
Excess energy over the best structure of this formula in the dataset = 0.668 eV per atom

The following is a DFT calculation (GGA-PBE) of an optimized crystal structure of PmAsPtO.

abc: 3.613 7.901 5.608
angles: 90.00 90.00 90.00
Positions (direct):
Pm1 0.000 0.193 0.000
Pm2 0.000 0.807 0.500
As1 0.000 0.422 0.492
As2 0.000 0.578 0.992
Pt1 0.500 0.221 0.525
Pt2 0.500 0.779 0.025
O1 0.500 0.051 0.086
O2 0.500 0.949 0.586

Summary:
Excess energy over the best structure of this formula in the dataset = 0.469 eV per atom

What are the final energy values for these records? In order: -6.702, -7.288, -7.042, -6.605, -6.224, -6.423 eV per atom.
What are the theoretical density values for these records? In order: 7.12, 7.97, 7.33, 7.24, 8.46, 8.94 g/cm³.